[1]
Density functional theory data (GGA-PBE) for a geometry-optimized Pu2Ni9Pt structure.

Cell and atoms, written as CIF:
```
data_Pu2Ni9Pt
_cell_length_a 4.8604
_cell_length_b 4.8604
_cell_length_c 24.0614
_cell_angle_alpha 90.00
_cell_angle_beta 90.00
_cell_angle_gamma 120.00
_symmetry_space_group_name_H-M 'R -3 m'
_symmetry_Int_Tables_number 166
_symmetry_space_group_name_Hall '-R 3 2"'
loop_
_atom_site_label
_atom_site_fract_x
_atom_site_fract_y
_atom_site_fract_z
_atom_site_occupancy
Pu1 0.0000 0.0000 0.1360 1
Ni1 0.0000 0.0000 0.3329 1
Ni2 0.0000 0.0000 0.5000 1
Ni3 0.0012 0.5006 0.9185 1
Pt1 0.0000 0.0000 0.0000 1
```

Calculated values
**E_tot**: -7.31 eV per atom
**Energy relative to the elements**: -0.09 eV/atom

---

[2]
Density functional theory data (GGA-PBE) for a geometry-optimized Pu3Ni2Pt7 structure.

Cell and atoms, written as CIF:
```
data_Pu3Ni2Pt7
_cell_length_a 5.4047
_cell_length_b 5.4047
_cell_length_c 25.6443
_cell_angle_alpha 90.00
_cell_angle_beta 90.00
_cell_angle_gamma 120.00
_symmetry_space_group_name_H-M 'R -3 m'
_symmetry_Int_Tables_number 166
_symmetry_space_group_name_Hall '-R 3 2"'
loop_
_atom_site_label
_atom_site_fract_x
_atom_site_fract_y
_atom_site_fract_z
_atom_site_occupancy
Pu1 0.0000 0.0000 0.0000 1
Pu2 0.0000 0.0000 0.1411 1
Ni1 0.0000 0.0000 0.3331 1
Pt1 0.0000 0.0000 0.5000 1
Pt2 0.0029 0.5015 0.9202 1
```

Calculated values
**E_tot**: -8.72 eV per atom
**Energy relative to the elements**: -0.65 eV/atom

---

[3]
Density functional theory data (GGA-PBE) for a geometry-optimized PuNiPt structure.

Cell and atoms, written as CIF:
```
data_PuNiPt
_cell_length_a 4.2572
_cell_length_b 4.2572
_cell_length_c 3.6718
_cell_angle_alpha 90.00
_cell_angle_beta 90.00
_cell_angle_gamma 120.00
_symmetry_space_group_name_H-M 'P -6 m 2'
_symmetry_Int_Tables_number 187
_symmetry_space_group_name_Hall 'P -6 2'
loop_
_atom_site_label
_atom_site_fract_x
_atom_site_fract_y
_atom_site_fract_z
_atom_site_occupancy
Pu1 0.0000 0.0000 0.0000 1
Ni1 0.3333 0.6667 0.5000 1
Pt1 0.6667 0.3333 0.5000 1
```

Calculated values
**E_tot**: -9.18 eV per atom
**Energy relative to the elements**: -0.46 eV/atom